#P
Be3GeMo: PBEsol geometry, meta-GGA SCAN.

Lattice parameters (Å, degrees): 4.295 4.295 4.295 90.00 90.00 90.00
Space group Pm-3m (No. 221)
Asymmetric unit:
Be  0.000  0.000  0.500 [3 per cell]
Ge  0.500  0.500  0.500 [1 per cell]
Mo  0.000  0.000  0.000 [1 per cell]

Computed properties:
Magnetic moment, μB/f.u.: 0.0

#Q
Be3GeMo: PBEsol geometry, meta-GGA SCAN.

Lattice parameters (Å, degrees): 4.054 4.054 4.054 90.00 90.00 90.00
Space group Pm-3m (No. 221)
Asymmetric unit:
Be  0.000  0.000  0.500 [3 per cell]
Ge  0.000  0.000  0.000 [1 per cell]
Mo  0.500  0.500  0.500 [1 per cell]

Computed properties:
Magnetic moment, μB/f.u.: 1.9

Most stable of them? #Q.

#P
LiBeH3: PBEsol geometry, meta-GGA SCAN.

Lattice parameters (Å, degrees): 5.981 6.095 13.076 90.00 97.69 90.00
Space group P2_1/c (No. 14)
Asymmetric unit:
Li  0.012  0.115  0.253 [4 per cell]
Li  0.235  0.617  0.593 [4 per cell]
Li  0.253  0.127  0.602 [4 per cell]
Be  0.226  0.170  0.908 [4 per cell]
Be  0.229  0.597  0.913 [4 per cell]
Be  0.433  0.614  0.314 [4 per cell]
H  0.026  0.648  0.847 [4 per cell]
H  0.027  0.124  0.840 [4 per cell]
H  0.195  0.134  0.011 [4 per cell]
H  0.222  0.624  0.020 [4 per cell]
H  0.290  0.615  0.217 [4 per cell]
H  0.301  0.115  0.383 [4 per cell]
H  0.329  0.117  0.195 [4 per cell]
H  0.427  0.700  0.883 [4 per cell]
H  0.431  0.070  0.884 [4 per cell]

Computed properties:
Magnetic moment, μB/f.u.: 0.0

#Q
LiBeH3: PBEsol geometry, meta-GGA SCAN.

Lattice parameters (Å, degrees): 9.187 3.825 5.074 90.00 100.36 90.00
Space group C2 (No. 5)
Asymmetric unit:
Li  0.124  0.000  0.366 [4 per cell]
Be  0.223  0.054  0.852 [4 per cell]
H  0.077  0.986  0.725 [4 per cell]
H  0.177  0.492  0.331 [4 per cell]
H  0.230  0.435  0.877 [4 per cell]

Computed properties:
Magnetic moment, μB/f.u.: 0.0

Most stable of them? #P.

#P
LiBeH3: PBEsol geometry, meta-GGA SCAN.

Lattice parameters (Å, degrees): 10.056 5.791 8.262 90.00 90.00 90.00
Space group Cmcm (No. 63)
Asymmetric unit:
Li  0.000  0.000  0.000 [4 per cell]
Li  0.171  0.500  0.000 [8 per cell]
Be  0.000  0.421  0.250 [4 per cell]
Be  0.122  0.213  0.750 [8 per cell]
H  0.000  0.086  0.750 [4 per cell]
H  0.000  0.309  0.097 [8 per cell]
H  0.124  0.459  0.750 [8 per cell]
H  0.179  0.155  0.599 [16 per cell]

Computed properties:
Magnetic moment, μB/f.u.: 0.0

#Q
LiBeH3: PBEsol geometry, meta-GGA SCAN.

Lattice parameters (Å, degrees): 8.600 7.929 4.647 90.00 109.01 90.00
Space group C2/c (No. 15)
Asymmetric unit:
Li  0.000  0.099  0.250 [4 per cell]
Li  0.000  0.291  0.750 [4 per cell]
Be  0.216  0.413  0.240 [8 per cell]
H  0.111  0.094  0.660 [8 per cell]
H  0.139  0.254  0.158 [8 per cell]
H  0.142  0.486  0.459 [8 per cell]

Computed properties:
Magnetic moment, μB/f.u.: 0.0

Most stable of them? #P.

#P
BeSnH3: PBEsol geometry, meta-GGA SCAN.

Lattice parameters (Å, degrees): 3.953 3.953 3.953 90.00 90.00 90.00
Space group Pm-3m (No. 221)
Asymmetric unit:
Be  0.000  0.000  0.000 [1 per cell]
Sn  0.500  0.500  0.500 [1 per cell]
H  0.000  0.500  0.500 [3 per cell]

Computed properties:
Magnetic moment, μB/f.u.: 0.0

#Q
BeSnH3: PBEsol geometry, meta-GGA SCAN.

Lattice parameters (Å, degrees): 3.543 3.543 3.543 90.00 90.00 90.00
Space group Pm-3m (No. 221)
Asymmetric unit:
Be  0.000  0.000  0.000 [1 per cell]
Sn  0.500  0.500  0.500 [1 per cell]
H  0.000  0.000  0.500 [3 per cell]

Computed properties:
Magnetic moment, μB/f.u.: 0.0

Most stable of them? #Q.